A plane-wave DFT calculation with PBE was carried out for SrMg2Mo after structural relaxation.

Lattice parameters (Å, degrees): 5.2540 5.2540 5.2540 60.00 60.00 60.00
Sites, in units of the cell vectors:
Sr 0.7500 0.7500 0.7500
Mg 0.0000 0.0000 0.0000
Mg 0.2500 0.2500 0.2500
Mo 0.5000 0.5000 0.5000

Properties
Distance to the lowest polymorph of the same formula in meV per atom: 214
SG: F-43m (216)
Crystal system: cubic
Formation enthalpy at 0 K in eV/atom: 0.70



A plane-wave DFT calculation with PBE was carried out for BeCrSe2 after structural relaxation.

Lattice parameters (Å, degrees): 8.0303 8.0303 8.0303 155.25 155.25 35.29
Sites, in units of the cell vectors:
Se 0.2500 0.7500 0.5000
Se 0.0000 0.0000 0.0000
Cr 0.7500 0.2500 0.5000
Be 0.5000 0.5000 0.0000

Properties
SG: I-4m2 (119)
Crystal system: tetragonal



A plane-wave DFT calculation with PBE was carried out for Pr4OsPt after structural relaxation.

Lattice parameters (Å, degrees): 6.4845 7.9249 8.2379 114.07 107.71 100.71
Sites, in units of the cell vectors:
Pr 0.6434 0.3649 0.1315
Pr 0.6437 0.0499 0.3507
Pr 0.9882 0.7667 0.1315
Pr 0.2070 0.3008 0.3507
Pr 0.3563 0.9501 0.6493
Pr 0.0118 0.2333 0.8685
Pr 0.7930 0.6992 0.6493
Pr 0.3566 0.6351 0.8685
Pt 0.6157 0.3657 0.7314
Pt 0.3843 0.6343 0.2686
Os 0.2533 0.0033 0.0065
Os 0.7467 0.9967 0.9935

Properties
SG: C2/c (15)
Crystal system: monoclinic
Formation enthalpy at 0 K in eV/atom: -0.41



Computed DFT total energy (eV for the cell shown) in order:
-12.89; -20.05; -77.74
Computed calculated volume (Å³ per atom) in order:
25.64; 22.67; 28.67